[1]
KCdSF | PBE | relaxed

extended XYZ file:
```
8
Lattice="4.2086 0.0000 0.0000 -2.1043 3.6447 0.0000 0.0000 0.0000 12.8612" Properties=species:S:1:pos:R:3 pbc="T T T"
K 0.0000 2.4298 11.8414
K 2.1043 1.2149 5.4107
Cd 0.0000 0.0000 2.1741
Cd 0.0000 0.0000 8.6048
S 2.1043 1.2149 9.3645
S 0.0000 2.4298 2.9339
F 0.0000 0.0000 6.3591
F 0.0000 0.0000 12.7897
```

***

[2]
KCd2SbF8 | PBE | relaxed

extended XYZ file:
```
12
Lattice="4.0640 -0.0018 -0.0023 0.0220 5.6840 -0.0061 0.0044 0.0090 7.7993" Properties=species:S:1:pos:R:3 pbc="T T T"
K 0.0022 0.0045 3.8996
Cd 2.0463 2.8477 5.7690
Cd 2.0442 2.8435 2.0219
Sb 0.0000 0.0000 0.0000
F 0.0203 4.1936 1.6905
F 2.0510 4.3408 -0.0056
F 4.0676 1.4925 1.6908
F 4.0701 1.4976 6.1005
F 2.0395 1.3504 7.7966
F 0.0229 4.1986 6.1001
F 2.0566 4.1287 3.8941
F 2.0339 1.5624 3.8968
```

***

[3]
KCd2SbF | PBE | relaxed

extended XYZ file:
```
5
Lattice="-4.6354 1.7353 1.2035 -1.9030 -4.2934 -1.1392 0.6601 -1.5667 4.8017" Properties=species:S:1:pos:R:3 pbc="T T T"
Sb -2.9391 -2.0624 2.4330
K -0.9515 -2.1467 -0.5696
F 0.0000 0.0000 0.0000
Cd 0.3301 -0.7834 2.4008
Cd -2.3177 0.8676 0.6017
```

***

[4]
KScCd2F8 | PBE | relaxed

extended XYZ file:
```
12
Lattice="5.0996 0.0260 -0.0028 0.0751 5.2714 -0.0057 0.0043 0.0080 7.2775" Properties=species:S:1:pos:R:3 pbc="T T T"
K 0.0022 0.0040 3.6388
Sc 0.0000 0.0000 0.0000
Cd 2.5906 2.6548 5.4698
Cd 2.5884 2.6507 1.7992
F 1.0028 4.1982 1.4348
F 3.6540 3.8458 7.2714
F 4.1736 1.1024 1.4364
F 4.1763 1.1073 5.8342
F 1.5250 1.4597 -0.0024
F 1.0055 4.2031 5.8326
F 3.3304 3.7059 3.6329
F 1.8487 1.5996 3.6361
```

***

[5]
KCdSeF | PBE | relaxed

extended XYZ file:
```
8
Lattice="-0.6848 -1.9367 -3.8485 2.5577 -1.9054 2.9763 -10.3275 -6.1545 4.9348" Properties=species:S:1:pos:R:3 pbc="T T T"
K -8.1067 -7.6270 5.2807
K -4.0238 -4.5602 0.5384
Cd -1.6969 -1.0113 0.8109
Cd -6.8607 -4.0885 3.2783
Se -7.1282 -6.4102 2.0218
Se -0.8836 -3.3225 1.8293
F -5.0757 -3.0248 2.4253
F -10.2395 -6.1020 4.8928
```

***

[6]
KCdSiF6 | PBE | relaxed

extended XYZ file:
```
9
Lattice="6.0025 0.0057 0.0006 3.0063 5.1954 -0.0006 0.0006 -0.0010 4.9565" Properties=species:S:1:pos:R:3 pbc="T T T"
K 0.0008 -0.0008 4.9564
Cd 6.0041 3.4658 2.4781
Si 3.0034 1.7334 2.4782
F 1.5892 1.7223 1.4875
F 2.2868 0.5141 3.4689
F 4.4173 1.7259 3.4691
F 2.3030 2.9650 3.4646
F 3.7037 2.9617 1.4873
F 3.7199 0.5111 1.4919
```

***

[7]
KSmCdF6 | PBE | relaxed

extended XYZ file:
```
18
Lattice="8.5155 0.0000 0.0000 0.0000 8.1080 0.0000 -4.2577 -4.0540 6.0593" Properties=species:S:1:pos:R:3 pbc="T T T"
K 4.2577 2.0270 3.2607
K 0.0000 2.0270 2.7986
Sm 2.1289 -2.0270 3.0296
Sm -2.1289 -2.0270 3.0296
Cd 4.2577 4.0540 0.0000
Cd 4.2577 0.0000 0.0000
F 0.0000 2.0270 5.2860
F 4.2577 -2.0270 3.8369
F 5.7967 -0.3304 1.6746
F 2.7188 4.3844 1.6746
F 2.7188 -0.3304 1.6746
F 5.7967 4.3844 1.6746
F 4.2577 2.0270 0.7733
F 0.0000 6.0810 2.2224
F -1.5389 4.3844 4.3847
F 1.5389 -0.3304 4.3847
F 1.5389 4.3844 4.3847
F -1.5389 -0.3304 4.3847
```

***

[8]
K2CdSnF6 | PBE | relaxed

extended XYZ file:
```
10
Lattice="-0.5277 5.0839 -3.8808 -5.5495 3.2056 -0.3555 -0.4806 5.8722 2.4464" Properties=species:S:1:pos:R:3 pbc="T T T"
K -3.4996 6.6370 -1.4480
K -0.7172 5.3976 1.8585
Cd -1.9402 2.9354 -1.1987
Sn -5.2138 10.0269 -2.0800
F -1.2939 5.0740 -1.6137
F -5.7005 5.5971 -0.2625
F -3.8587 8.5268 -3.3555
F -4.2202 9.0744 -0.1361
F -1.2553 8.2120 -0.6259
F -3.0405 6.6118 1.3832
```

***

[9]
KSrCdF6 | PBE | relaxed

extended XYZ file:
```
18
Lattice="7.7654 0.0000 0.0000 0.0000 8.0223 0.0000 -3.8827 -4.0111 5.3130" Properties=species:S:1:pos:R:3 pbc="T T T"
K 3.8827 2.0056 3.7744
K 0.0000 2.0056 1.5386
Sr 1.9414 -2.0056 2.6565
Sr -1.9414 -2.0056 2.6565
Cd 3.8827 4.0111 0.0000
Cd 3.8827 0.0000 0.0000
F 3.8827 6.0167 1.0522
F 3.8827 -2.0056 4.0925
F 5.3871 0.3220 1.4773
F 2.3783 3.6891 1.4773
F 2.3783 0.3220 1.4773
F 5.3871 3.6891 1.4773
F 0.0000 -2.0056 4.2608
F 0.0000 6.0167 1.2205
F -1.5044 3.6891 3.8357
F 1.5044 0.3220 3.8357
F 1.5044 3.6891 3.8357
F -1.5044 0.3220 3.8357
```

***

[10]
KSrCd2F | PBE | relaxed

extended XYZ file:
```
5
Lattice="6.2042 0.0000 0.0000 0.0000 4.5913 0.0000 0.0000 0.0000 6.2042" Properties=species:S:1:pos:R:3 pbc="T T T"
Sr 0.0000 2.2957 0.0000
K 3.1021 2.2957 3.1021
F 0.0000 0.0000 0.0000
Cd 0.0000 0.0000 3.1021
Cd 3.1021 0.0000 0.0000
```

***

[11]
K2SrCdF | PBE | relaxed

extended XYZ file:
```
5
Lattice="-3.2499 -2.2656 -3.9096 4.4525 -2.4262 -2.2953 -0.7335 -4.2563 3.0762" Properties=species:S:1:pos:R:3 pbc="T T T"
Sr -0.3668 -2.1281 1.5381
K 2.2263 -1.2131 -1.1476
K -1.6250 -1.1328 -1.9548
F 0.0000 0.0000 0.0000
Cd 0.2346 -4.4740 -1.5643
```

***

[12]
KSr2CdF8 | PBE | relaxed

extended XYZ file:
```
12
Lattice="4.1771 -0.0631 -0.0018 0.0019 5.7182 -0.0061 0.0037 0.0090 8.3695" Properties=species:S:1:pos:R:3 pbc="T T T"
K 0.0019 0.0045 4.1847
Sr 2.0924 2.8344 6.3729
Sr 2.0904 2.8297 1.9887
Cd 0.0000 0.0000 0.0000
F 0.0255 4.2861 1.8096
F 2.1290 4.3476 -0.0056
F 4.1551 1.3729 1.8109
F 4.1573 1.3780 6.5520
F 2.0500 1.3076 -0.0023
F 0.0276 4.2912 6.5507
F 2.0792 4.0679 4.1795
F 2.1035 1.5962 4.1821
```

***

Formation energy without anion corrections readings, ordered: -1.64, -2.31, -0.69, -2.87, -1.64, -2.68, -3.10, -2.46, -2.63, -0.98, -1.07, -2.96 eV per atom